The following is a DFT calculation (PBE) of a relaxed Pr3Sc2Sn4 crystal.

The calculation puts the electronic total energy at -5.440 eV per atom. The value obtained for the formation energy is -660 meV per atom. Its crystal system is monoclinic.

The space group is C2/m (No. 12) and the conventional cell measures 13.015, 4.574 and 9.591 Å, with angles of 90.00, 113.61 and 90.00 degrees. The distinct sites, in fractional coordinates, are Pr at (0.000, 0.000, 0.000), Pr at (0.122, 0.500, 0.695), Sc at (0.188, 0.500, 0.358), Sn at (0.075, 0.000, 0.406) and Sn at (0.206, 0.500, 0.067).